[1]
{"formula": "HgN", "functional": "PBE-GGA", "state": "relaxed", "sg": "P6_3/m, No. 176", "raw_formation_energy_ev_per_atom": 1.521, "de_polymorph_mev_per_atom": 1470, "lattice_angstrom": [[7.772, 0.000, 0.000], [-3.886, 6.731, 0.000], [0.000, 0.000, 4.257]], "species": ["Hg", "Hg", "Hg", "Hg", "Hg", "Hg", "N", "N", "N", "N", "N", "N"], "fractional_positions": [[0.112, 0.703, 0.250], [0.297, 0.408, 0.250], [0.408, 0.112, 0.750], [0.592, 0.888, 0.250], [0.703, 0.592, 0.750], [0.888, 0.297, 0.750], [0.010, 0.637, 0.750], [0.363, 0.374, 0.750], [0.374, 0.010, 0.250], [0.626, 0.990, 0.750], [0.637, 0.626, 0.250], [0.990, 0.363, 0.250]]}

---

[2]
{"formula": "Rb4I3N2", "functional": "PBE-GGA", "state": "relaxed", "sg": "C2/c, No. 15", "raw_formation_energy_ev_per_atom": -0.987, "lattice_angstrom": [[8.683, -4.906, 0.000], [8.683, 4.906, 0.000], [-0.199, 0.000, 9.311]], "species": ["Rb", "Rb", "Rb", "Rb", "Rb", "Rb", "Rb", "Rb", "I", "I", "I", "I", "I", "I", "N", "N", "N", "N"], "fractional_positions": [[0.169, 0.714, 0.983], [0.222, 0.340, 0.696], [0.286, 0.831, 0.517], [0.340, 0.222, 0.196], [0.660, 0.778, 0.804], [0.714, 0.169, 0.483], [0.778, 0.660, 0.304], [0.831, 0.286, 0.017], [0.022, 0.244, 0.398], [0.244, 0.022, 0.898], [0.482, 0.518, 0.250], [0.518, 0.482, 0.750], [0.756, 0.978, 0.102], [0.978, 0.756, 0.602], [0.062, 0.486, 0.020], [0.486, 0.062, 0.520], [0.514, 0.938, 0.480], [0.938, 0.514, 0.980]]}

---

[3]
{"formula": "Rb2H2SeI2", "functional": "PBE-GGA", "state": "relaxed", "sg": "P-1, No. 2", "final_energy_ev_per_atom": -2.829, "lattice_angstrom": [[4.866, 0.000, 0.000], [1.494, 7.206, 0.000], [1.492, 0.911, 7.181]], "species": ["Rb", "Rb", "H", "H", "Se", "I", "I"], "fractional_positions": [[0.001, 0.254, 0.244], [0.999, 0.746, 0.756], [0.469, 0.854, 0.354], [0.531, 0.146, 0.646], [0.500, 0.000, 0.500], [0.412, 0.685, 0.186], [0.588, 0.315, 0.814]]}

---

[4]
{"formula": "NdY6Tm3Sc2", "functional": "PBE-GGA", "state": "relaxed", "sg": "C2/m, No. 12", "delta_e_f_ev_per_atom": 0.045, "lattice_angstrom": [[3.040, -5.259, 0.000], [3.040, 5.259, 0.000], [-2.018, 0.000, 11.462]], "species": ["Nd", "Y", "Y", "Y", "Y", "Y", "Y", "Tm", "Tm", "Tm", "Sc", "Sc"], "fractional_positions": [[0.000, 0.000, 0.000], [0.083, 0.419, 0.248], [0.253, 0.253, 0.752], [0.419, 0.083, 0.248], [0.581, 0.917, 0.752], [0.747, 0.747, 0.248], [0.917, 0.581, 0.752], [0.167, 0.833, 0.500], [0.500, 0.500, 0.500], [0.833, 0.167, 0.500], [0.333, 0.667, 0.000], [0.667, 0.333, 0.000]]}

---

[5]
{"formula": "Tm2TlTc", "functional": "PBE-GGA", "state": "relaxed", "sg": "P4/mmm, No. 123", "delta_e_f_ev_per_atom": -0.228, "lattice_angstrom": [[3.491, 0.000, 0.000], [0.000, 3.491, 0.000], [0.000, 0.000, 7.622]], "species": ["Tm", "Tm", "Tl", "Tc"], "fractional_positions": [[0.000, 0.000, 0.208], [0.000, 0.000, 0.792], [0.500, 0.500, 0.500], [0.500, 0.500, 0.000]]}

---

[6]
{"formula": "NbTeMo3", "functional": "PBE-GGA", "state": "relaxed", "sg": "Pm-3m, No. 221", "raw_formation_energy_ev_per_atom": 1.751, "de_polymorph_mev_per_atom": 0, "lattice_angstrom": [[4.838, 0.000, 0.000], [0.000, 4.838, 0.000], [0.000, 0.000, 4.838]], "species": ["Nb", "Te", "Mo", "Mo", "Mo"], "fractional_positions": [[0.000, 0.000, 0.000], [0.500, 0.500, 0.500], [0.000, 0.000, 0.500], [0.000, 0.500, 0.000], [0.500, 0.000, 0.000]]}

---

[7]
{"formula": "LiNd3Se4", "functional": "PBE-GGA", "state": "relaxed", "sg": "Pm-3m, No. 221", "raw_formation_energy_ev_per_atom": -1.779, "de_polymorph_mev_per_atom": 0, "lattice_angstrom": [[5.936, 0.000, 0.000], [0.000, 5.936, 0.000], [0.000, 0.000, 5.936]], "species": ["Li", "Nd", "Nd", "Nd", "Se", "Se", "Se", "Se"], "fractional_positions": [[0.000, 0.000, 0.000], [0.000, 0.500, 0.500], [0.500, 0.000, 0.500], [0.500, 0.500, 0.000], [0.000, 0.000, 0.500], [0.000, 0.500, 0.000], [0.500, 0.000, 0.000], [0.500, 0.500, 0.500]]}

---

[8]
{"formula": "Pm8CSe3I4", "functional": "PBE-GGA", "state": "relaxed", "sg": "R-3m, No. 166", "raw_formation_energy_ev_per_atom": -1.192, "lattice_angstrom": [[4.190, 2.419, 7.631], [-4.190, 2.419, 7.631], [0.000, -4.838, 7.631]], "species": ["Pm", "Pm", "Pm", "Pm", "Pm", "Pm", "Pm", "Pm", "C", "Se", "Se", "Se", "I", "I", "I", "I"], "fractional_positions": [[0.232, 0.232, 0.232], [0.267, 0.708, 0.708], [0.292, 0.292, 0.733], [0.292, 0.733, 0.292], [0.708, 0.267, 0.708], [0.708, 0.708, 0.267], [0.733, 0.292, 0.292], [0.768, 0.768, 0.768], [0.500, 0.500, 0.500], [0.000, 0.000, 0.500], [0.000, 0.500, 0.000], [0.500, 0.000, 0.000], [0.000, 0.000, 0.000], [0.000, 0.500, 0.500], [0.500, 0.000, 0.500], [0.500, 0.500, 0.000]]}

---

no.,total moment (μB/atom),calculated volume (Å³/cell)
1,0.00,222.69
2,0.11,793.32
3,0.01,251.82
4,0.00,366.46
5,0.00,92.92
6,0.50,113.22
7,0.00,209.13
8,0.00,464.01